[1]
BaSb3Rh3 after structural relaxation. Source: Alexandria, functional PBE.

Cell and atoms, written as extended XYZ:
```
14
Lattice="-0.257 -0.596 -7.219 -6.166 -3.773 0.531 -3.801 6.160 -0.374" Properties=species:S:1:pos:R:3 pbc="T T T"
Sb -1.965 2.931 -1.992
Sb -4.033 -0.346 0.172
Sb -4.753 -3.128 -3.211
Sb -2.093 2.633 -5.601
Sb -5.934 2.734 -0.015
Sb -1.670 -1.241 -3.477
Rh -3.442 2.137 -0.054
Rh -6.525 0.250 0.211
Rh -2.979 4.322 -3.890
Rh -3.276 -2.334 -5.149
Rh -1.079 1.242 -3.703
Rh -3.147 -2.035 -1.539
Ba -5.112 0.895 -3.531
Ba 0.000 0.000 0.000
```

Values from the calculation:
As for the space group: Pm-3n. The total energy is -5.62 eV per atom. For the polymorph energy (0 for the lowest one), the calculation gives 0.033 eV per atom. Its formation energy (no corrections) is -2.97 eV/f.u.

[2]
SrWAu after structural relaxation. Source: Alexandria, functional PBE.

Cell and atoms, written as extended XYZ:
```
3
Lattice="3.109 0.000 0.000 -1.555 2.693 0.000 0.000 0.000 7.676" Properties=species:S:1:pos:R:3 pbc="T T T"
Au 0.000 0.000 7.492
Sr 1.555 0.898 2.580
W 0.000 1.795 5.280
```

Values from the calculation:
As for the space group: P3m1. The value obtained for the formation energy is 912 meV/atom. The total energy is -5.06 eV per atom. For the polymorph energy (0 for the lowest one), the calculation gives 0.269 eV per atom.

[3]
Nd2TmZr after structural relaxation. Source: Alexandria, functional PBE.

Cell and atoms, written as extended XYZ:
```
4
Lattice="4.073 0.000 0.000 0.000 4.073 0.000 0.000 0.000 7.288" Properties=species:S:1:pos:R:3 pbc="T T T"
Tm 2.036 2.036 0.000
Nd 0.000 0.000 5.304
Nd 0.000 0.000 1.984
Zr 2.036 2.036 3.644
```

Values from the calculation:
As for the space group: P4/mmm. The value obtained for the formation energy is 169 meV/atom. The total energy is -5.47 eV per atom. For the polymorph energy (0 for the lowest one), the calculation gives 0.047 eV per atom.

[4]
LaTm3Cd4 after structural relaxation. Source: Alexandria, functional PBE.

Cell and atoms, written as extended XYZ:
```
16
Lattice="-4.351 1.948 -2.230 -2.572 -7.135 -1.216 -4.759 0.116 9.388" Properties=species:S:1:pos:R:3 pbc="T T T"
Cd -4.144 -4.487 -2.045
Cd -6.524 -4.429 2.649
Cd -2.779 -0.699 -1.400
Cd -5.158 -0.641 3.294
Cd -5.542 -5.374 6.108
Cd -7.506 -3.487 -0.812
Cd -6.140 0.303 -0.166
Cd -4.176 -1.584 6.754
Tm 0.000 0.000 0.000
Tm -2.379 0.058 4.694
Tm -5.748 1.062 5.925
Tm -3.362 1.002 1.234
Tm -7.033 -2.505 5.317
Tm -4.649 -2.565 0.626
La -1.286 -3.567 -0.608
La -3.665 -3.509 4.086
```

Values from the calculation:
As for the space group: P4/mmm. The value obtained for the formation energy is -299 meV/atom. The total energy is -3.05 eV per atom.

[5]
TiBeZn2 after structural relaxation. Source: Alexandria, functional PBE.

Cell and atoms, written as extended XYZ:
```
4
Lattice="2.777 0.000 0.000 0.000 2.777 0.000 0.000 0.000 6.887" Properties=species:S:1:pos:R:3 pbc="T T T"
Be 1.389 1.389 0.000
Zn 0.000 0.000 5.421
Zn 0.000 0.000 1.467
Ti 1.389 1.389 3.444
```

Values from the calculation:
As for the space group: P4/mmm. The value obtained for the formation energy is -70 meV/atom. The total energy is -3.61 eV per atom.

[6]
KLa3Se after structural relaxation. Source: Alexandria, functional PBE.

Cell and atoms, written as extended XYZ:
```
5
Lattice="-5.107 -0.063 -2.099 -0.028 -5.517 0.235 -2.100 0.228 5.102" Properties=species:S:1:pos:R:3 pbc="T T T"
K 0.000 0.000 0.000
Se -3.618 -2.676 1.619
La -0.014 -2.759 0.117
La -1.050 0.114 2.551
La -2.554 -0.032 -1.050
```

Values from the calculation:
As for the space group: Pm-3m. The total energy is -3.05 eV per atom. For the polymorph energy (0 for the lowest one), the calculation gives 1.217 eV per atom. Its formation energy (no corrections) is 4.09 eV/f.u.

[7]
Rb2BeI6F after structural relaxation. Source: Alexandria, functional PBE.

Cell and atoms, written as extended XYZ:
```
10
Lattice="-5.559 -1.302 6.108 1.556 -8.208 -0.333 2.014 -4.147 6.671" Properties=species:S:1:pos:R:3 pbc="T T T"
I 0.343 -4.400 5.097
I -2.332 -9.257 7.350
I -1.144 -2.718 1.651
I -2.859 -6.792 4.125
I -3.525 -3.276 4.267
I -0.477 -6.234 1.508
Be -2.001 -4.755 2.888
Rb -2.773 -5.102 7.834
Rb 0.785 -8.555 4.613
F 0.000 0.000 0.000
```

Values from the calculation:
As for the space group: I4/mmm. The total energy is -2.36 eV per atom. Its formation energy (no corrections) is -6.79 eV/f.u.

[8]
Ge2OsRu after structural relaxation. Source: Alexandria, functional PBE.

Cell and atoms, written as extended XYZ:
```
4
Lattice="-1.468 -2.379 -0.670 1.231 -2.580 0.300 -3.082 -2.126 8.134" Properties=species:S:1:pos:R:3 pbc="T T T"
Ru -1.659 -3.543 3.882
Ge -2.241 -1.993 5.823
Ge -1.077 -5.092 1.942
Os 0.000 0.000 0.000
```

Values from the calculation:
As for the space group: R-3m. The value obtained for the formation energy is 248 meV/atom. The total energy is -7.19 eV per atom.